DFT (PBE) results for crystalline CdCoAu2 at its relaxed geometry.

Summary:
* symmetry: I-4m2 (119)
* density of states at the Fermi level: 6.261 states/eV per cell
* raw total energy: -3.497 eV per atom
* formation enthalpy at 0 K: 147.0 meV per atom

a b c (Å): 4.974 4.974 4.974
angles (deg): 131.41 131.41 71.17
Last column: magnetic moment on the atom in μB.
Element x y z (fractional)
Au 0.250 0.750 0.500  -0.01
Au 0.000 0.000 0.000  -0.01
Cd 0.500 0.500 0.000  -0.02
Co 0.750 0.250 0.500  1.56



DFT (PBE) results for crystalline YRe at its relaxed geometry.

Summary:
* symmetry: Fd-3m (227)
* density of states at the Fermi level: 4.089 states/eV per cell
* raw total energy: -9.063 eV per atom
* formation enthalpy at 0 K: 393.1 meV per atom

a b c (Å): 4.802 4.802 4.802
angles (deg): 60.00 60.00 60.00
Element x y z (fractional)
Y 0.250 0.250 0.250
Y 0.500 0.500 0.500
Re 0.750 0.750 0.750
Re 0.000 0.000 0.000



DFT (PBE) results for crystalline LaSm2YHo at its relaxed geometry.

Summary:
* symmetry: Pmmm (47)
* density of states at the Fermi level: 16.779 states/eV per cell
* raw total energy: -4.808 eV per atom
* formation enthalpy at 0 K: 273.7 meV per atom

a b c (Å): 5.643 8.631 7.351
angles (deg): 90.02 90.00 90.00
Element x y z (fractional)
La 0.000 0.000 0.000
La 0.000 0.000 0.500
Sm 0.500 0.678 0.500
Sm 0.500 0.322 0.000
Sm 0.500 0.678 0.000
Sm 0.500 0.322 0.500
Y 0.500 0.000 0.250
Y 0.500 0.000 0.750
Ho 0.000 0.500 0.750
Ho 0.000 0.500 0.250



DFT (PBE) results for crystalline Na2AgRh at its relaxed geometry.

Summary:
* symmetry: I-42d (122)
* offset from the most stable computed form: 153 meV/atom
* density of states at the Fermi level: 5.271 states/eV per cell
* raw total energy: -2.717 eV per atom
* formation enthalpy at 0 K: 493.4 meV per atom

a b c (Å): 7.815 7.815 6.181
angles (deg): 50.78 50.78 90.00
Last column: magnetic moment on the atom in μB.
Element x y z (fractional)
Na 0.129 0.625 0.250  0.00
Na 0.375 0.379 0.750  0.00
Na 0.875 0.871 0.750  0.00
Na 0.621 0.125 0.250  0.00
Rh 0.250 0.750 0.500  0.07
Rh 0.500 0.500 0.000  0.07
Ag 0.000 0.000 0.000  0.00
Ag 0.750 0.250 0.500  0.00



DFT (PBE) results for crystalline Nd5DyHo2Er at its relaxed geometry.

Summary:
* symmetry: Cmc2_1 (36)
* density of states at the Fermi level: 28.604 states/eV per cell
* raw total energy: -4.541 eV per atom
* formation enthalpy at 0 K: 143.0 meV per atom

a b c (Å): 5.640 10.586 10.708
angles (deg): 90.00 90.00 105.45
Element x y z (fractional)
Ho 0.886 0.772 0.809
Ho 0.112 0.225 0.739
Ho 0.888 0.775 0.239
Ho 0.114 0.228 0.309
Nd 0.516 0.033 0.244
Nd 0.702 0.405 0.207
Nd 0.016 0.032 0.017
Nd 0.279 0.559 0.313
Nd 0.721 0.441 0.813
Nd 0.984 0.968 0.517
Nd 0.616 0.231 0.521
Nd 0.384 0.769 0.021
Nd 0.484 0.967 0.744
Nd 0.298 0.595 0.707
Dy 0.802 0.603 0.511
Dy 0.198 0.397 0.011
Er 0.408 0.815 0.463
Er 0.592 0.185 0.963



DFT (PBE) results for crystalline AsRuOF2 at its relaxed geometry.

Summary:
* symmetry: P4/mmm (123)
* offset from the most stable computed form: 0 meV/atom
* density of states at the Fermi level: 4.282 states/eV per cell
* energy relative to the elements, uncorrected: -0.434 eV per atom
* raw total energy: -4.959 eV per atom

a b c (Å): 4.397 4.397 3.687
angles (deg): 90.00 90.00 90.00
Last column: magnetic moment on the atom in μB.
Element x y z (fractional)
Ru 0.000 0.000 0.000  -0.48
F 0.000 0.500 0.000  0.03
F 0.500 0.000 0.000  0.03
As 0.500 0.500 0.500  0.59
O 0.000 0.000 0.500  -0.03